No. 1
Here is a relaxed structure of HfCo6B3 from Alexandria via LeMat-Bulk. Energies are from PBE.

Properties
- crystal system = trigonal
- symmetry = R3 (146)
- ΔH_f (0 K) (eV per atom) = -0.265

Cell: 5.657 5.657 5.657 Å, 51.14 51.14 51.14°
Fractional positions:
Hf 0.000 0.000 0.000
Co 0.072 0.576 0.564
Co 0.324 0.430 0.877
Co 0.430 0.877 0.324
Co 0.564 0.072 0.576
Co 0.576 0.564 0.072
Co 0.877 0.324 0.430
B 0.306 0.306 0.306
B 0.639 0.639 0.639
B 0.838 0.838 0.838


No. 2
Here is a relaxed structure of HfCo3B from Alexandria via LeMat-Bulk. Energies are from PBE.

Properties
- crystal system = orthorhombic
- symmetry = Pnma (62)
- ΔH_f (0 K) (eV per atom) = -0.388

Cell: 7.306 3.427 9.006 Å, 90.00 90.00 90.00°
Fractional positions:
Hf 0.183 0.250 0.006
Hf 0.317 0.750 0.506
Hf 0.683 0.250 0.494
Hf 0.817 0.750 0.994
Co 0.061 0.250 0.416
Co 0.115 0.750 0.227
Co 0.144 0.750 0.782
Co 0.356 0.250 0.282
Co 0.385 0.250 0.727
Co 0.439 0.750 0.916
Co 0.561 0.250 0.084
Co 0.615 0.750 0.273
Co 0.644 0.750 0.718
Co 0.856 0.250 0.218
Co 0.885 0.250 0.773
Co 0.939 0.750 0.584
B 0.114 0.250 0.647
B 0.386 0.750 0.147
B 0.614 0.250 0.853
B 0.886 0.750 0.353


No. 3
Here is a relaxed structure of Hf2CoB6 from Alexandria via LeMat-Bulk. Energies are from PBE.

Properties
- crystal system = monoclinic
- symmetry = C2/m (12)
- ΔH_f (0 K) (eV per atom) = -0.458

Cell: 4.750 4.750 8.035 Å, 98.26 98.26 92.05°
Fractional positions:
Hf 0.168 0.671 0.678
Hf 0.329 0.832 0.322
Hf 0.671 0.168 0.678
Hf 0.832 0.329 0.322
Co 0.222 0.222 0.888
Co 0.778 0.778 0.112
B 0.090 0.461 0.101
B 0.091 0.091 0.102
B 0.140 0.140 0.556
B 0.367 0.367 0.466
B 0.461 0.090 0.101
B 0.461 0.461 0.101
B 0.539 0.539 0.899
B 0.539 0.910 0.899
B 0.633 0.633 0.534
B 0.860 0.860 0.444
B 0.909 0.909 0.898
B 0.910 0.539 0.899


No. 4
Here is a relaxed structure of Hf2CoB2 from Alexandria via LeMat-Bulk. Energies are from PBE.

Properties
- crystal system = tetragonal
- symmetry = P4/mbm (127)
- ΔH_f (0 K) (eV per atom) = -0.687

Cell: 5.920 5.920 3.503 Å, 90.00 90.00 90.00°
Fractional positions:
Hf 0.180 0.320 0.000
Hf 0.320 0.820 0.000
Hf 0.680 0.180 0.000
Hf 0.820 0.680 0.000
Co 0.000 0.000 0.500
Co 0.500 0.500 0.500
B 0.111 0.611 0.500
B 0.389 0.111 0.500
B 0.611 0.889 0.500
B 0.889 0.389 0.500


No. 5
Here is a relaxed structure of HfCo6B6 from Alexandria via LeMat-Bulk. Energies are from PBE.

Properties
- crystal system = orthorhombic
- symmetry = Immm (71)
- ΔH_f (0 K) (eV per atom) = -0.156

Cell: 5.542 5.542 5.542 Å, 134.89 99.05 97.87°
Fractional positions:
Hf 0.000 0.000 0.000
Co 0.190 0.690 0.500
Co 0.340 0.000 0.340
Co 0.345 0.345 0.000
Co 0.655 0.655 0.000
Co 0.660 0.000 0.660
Co 0.810 0.310 0.500
B 0.000 0.000 0.500
B 0.000 0.500 0.000
B 0.236 0.500 0.736
B 0.500 0.000 0.000
B 0.500 0.500 0.500
B 0.764 0.500 0.264


No. 6
Here is a relaxed structure of HfCoBIr2 from Alexandria via LeMat-Bulk. Energies are from PBE.

Properties
- crystal system = tetragonal
- symmetry = P4/mmm (123)
- ΔH_f (0 K) (eV per atom) = -0.579

Cell: 4.133 4.133 3.960 Å, 90.00 90.00 90.00°
Fractional positions:
Hf 0.000 0.000 0.000
Co 0.500 0.500 0.000
B 0.500 0.500 0.500
Ir 0.000 0.500 0.500
Ir 0.500 0.000 0.500


No. 7
Here is a relaxed structure of HfCo2BIr from Alexandria via LeMat-Bulk. Energies are from PBE.

Properties
- crystal system = tetragonal
- symmetry = P4/mmm (123)
- ΔH_f (0 K) (eV per atom) = -0.521

Cell: 3.925 3.925 4.078 Å, 90.00 90.00 90.00°
Fractional positions:
Hf 0.000 0.000 0.000
Co 0.000 0.500 0.500
Co 0.500 0.000 0.500
B 0.500 0.500 0.500
Ir 0.500 0.500 0.000


No. 8
Here is a relaxed structure of LaHfCoB2 from Alexandria via LeMat-Bulk. Energies are from PBE.

Properties
- crystal system = tetragonal
- symmetry = P4/mmm (123)
- ΔH_f (0 K) (eV per atom) = 0.868

Cell: 4.138 4.138 4.726 Å, 90.00 90.00 90.00°
Fractional positions:
La 0.000 0.000 0.000
Hf 0.500 0.500 0.000
Co 0.000 0.000 0.500
B 0.000 0.500 0.500
B 0.500 0.000 0.500


No. 9
Here is a relaxed structure of HfCoNi2B from Alexandria via LeMat-Bulk. Energies are from PBE.

Properties
- crystal system = tetragonal
- symmetry = P4/mmm (123)
- ΔH_f (0 K) (eV per atom) = -0.365

Cell: 3.901 3.901 3.909 Å, 90.00 90.00 90.00°
Fractional positions:
Hf 0.000 0.000 0.000
Co 0.500 0.500 0.000
Ni 0.000 0.500 0.500
Ni 0.500 0.000 0.500
B 0.500 0.500 0.500


No. 10
Here is a relaxed structure of HfCo2BOs from Alexandria via LeMat-Bulk. Energies are from PBE.

Properties
- crystal system = tetragonal
- symmetry = P4/mmm (123)
- ΔH_f (0 K) (eV per atom) = -0.409

Cell: 3.914 3.914 4.093 Å, 90.00 90.00 90.00°
Fractional positions:
Hf 0.000 0.000 0.000
Co 0.000 0.500 0.500
Co 0.500 0.000 0.500
B 0.500 0.500 0.500
Os 0.500 0.500 0.000


No. 11
Here is a relaxed structure of Hf2CoBPd from Alexandria via LeMat-Bulk. Energies are from PBE.

Properties
- crystal system = tetragonal
- symmetry = P4/mmm (123)
- ΔH_f (0 K) (eV per atom) = 0.935

Cell: 4.585 4.585 4.531 Å, 90.00 90.00 90.00°
Fractional positions:
Hf 0.000 0.500 0.000
Hf 0.500 0.000 0.000
Co 0.000 0.000 0.000
B 0.500 0.500 0.500
Pd 0.000 0.000 0.500


No. 12
Here is a relaxed structure of HfCo2BRh from Alexandria via LeMat-Bulk. Energies are from PBE.

Properties
- crystal system = tetragonal
- symmetry = P4/mmm (123)
- ΔH_f (0 K) (eV per atom) = -0.532

Cell: 3.899 3.899 4.074 Å, 90.00 90.00 90.00°
Fractional positions:
Hf 0.000 0.000 0.000
Co 0.000 0.500 0.500
Co 0.500 0.000 0.500
B 0.500 0.500 0.500
Rh 0.500 0.500 0.000


No. 13
Here is a relaxed structure of HfCoBRu2 from Alexandria via LeMat-Bulk. Energies are from PBE.

Properties
- crystal system = tetragonal
- symmetry = P4/mmm (123)
- ΔH_f (0 K) (eV per atom) = -0.500

Cell: 4.124 4.124 3.869 Å, 90.00 90.00 90.00°
Fractional positions:
Hf 0.000 0.000 0.000
Co 0.500 0.500 0.000
B 0.500 0.500 0.500
Ru 0.000 0.500 0.500
Ru 0.500 0.000 0.500


No. 14
Here is a relaxed structure of Hf2CoB2Ru5 from Alexandria via LeMat-Bulk. Energies are from PBE.

Properties
- crystal system = tetragonal
- symmetry = P4/mbm (127)
- ΔH_f (0 K) (eV per atom) = -0.505

Cell: 9.305 9.305 3.054 Å, 90.00 90.00 90.00°
Fractional positions:
Hf 0.176 0.324 0.000
Hf 0.324 0.824 0.000
Hf 0.676 0.176 0.000
Hf 0.824 0.676 0.000
Co 0.000 0.000 0.000
Co 0.500 0.500 0.000
B 0.124 0.624 0.000
B 0.376 0.124 0.000
B 0.624 0.876 0.000
B 0.876 0.376 0.000
Ru 0.000 0.500 0.500
Ru 0.071 0.787 0.500
Ru 0.213 0.071 0.500
Ru 0.287 0.571 0.500
Ru 0.429 0.287 0.500
Ru 0.500 0.000 0.500
Ru 0.571 0.713 0.500
Ru 0.713 0.429 0.500
Ru 0.787 0.929 0.500
Ru 0.929 0.213 0.500


No. 15
Here is a relaxed structure of HfCo2BRu from Alexandria via LeMat-Bulk. Energies are from PBE.

Properties
- crystal system = tetragonal
- symmetry = P4/mmm (123)
- ΔH_f (0 K) (eV per atom) = -0.474

Cell: 3.892 3.892 4.087 Å, 90.00 90.00 90.00°
Fractional positions:
Hf 0.000 0.000 0.000
Co 0.000 0.500 0.500
Co 0.500 0.000 0.500
B 0.500 0.500 0.500
Ru 0.500 0.500 0.000


No. 16
Here is a relaxed structure of Hf3Co9SiB2 from Alexandria via LeMat-Bulk. Energies are from PBE.

Properties
- crystal system = trigonal
- symmetry = P-3m1 (164)
- raw formation energy (eV/atom) = -0.310

Cell: 5.486 5.486 7.086 Å, 90.00 90.00 120.00°
Fractional positions:
Hf 0.000 0.000 0.000
Hf 0.333 0.667 0.664
Hf 0.667 0.333 0.336
Co 0.000 0.500 0.000
Co 0.173 0.347 0.309
Co 0.173 0.827 0.309
Co 0.347 0.173 0.691
Co 0.500 0.000 0.000
Co 0.500 0.500 0.000
Co 0.653 0.827 0.309
Co 0.827 0.173 0.691
Co 0.827 0.653 0.691
Si 0.000 0.000 0.500
B 0.333 0.667 0.149
B 0.667 0.333 0.851


No. 17
Here is a relaxed structure of HfCo2TcB from Alexandria via LeMat-Bulk. Energies are from PBE.

Properties
- crystal system = tetragonal
- symmetry = P4/mmm (123)
- ΔH_f (0 K) (eV per atom) = -0.371

Cell: 3.888 3.888 4.155 Å, 90.00 90.00 90.00°
Fractional positions:
Hf 0.000 0.000 0.000
Co 0.000 0.500 0.500
Co 0.500 0.000 0.500
Tc 0.500 0.500 0.000
B 0.500 0.500 0.500


No. 18
Here is a relaxed structure of HfCoBTe2 from Alexandria via LeMat-Bulk. Energies are from PBE.

Properties
- crystal system = tetragonal
- symmetry = P4/mmm (123)
- raw formation energy (eV/atom) = 0.319

Cell: 5.135 5.135 3.691 Å, 90.00 90.00 90.00°
Fractional positions:
Hf 0.000 0.000 0.000
Co 0.500 0.500 0.500
B 0.500 0.500 0.000
Te 0.000 0.500 0.500
Te 0.500 0.000 0.500


No. 19
Here is a relaxed structure of Hf2ZnCo5B2 from Alexandria via LeMat-Bulk. Energies are from PBE.

Properties
- crystal system = tetragonal
- symmetry = P4/mbm (127)
- ΔH_f (0 K) (eV per atom) = -0.545

Cell: 8.657 8.657 3.054 Å, 90.00 90.00 90.00°
Fractional positions:
Hf 0.177 0.323 0.000
Hf 0.323 0.823 0.000
Hf 0.677 0.177 0.000
Hf 0.823 0.677 0.000
Zn 0.000 0.000 0.000
Zn 0.500 0.500 0.000
Co 0.000 0.500 0.500
Co 0.069 0.776 0.500
Co 0.224 0.069 0.500
Co 0.276 0.569 0.500
Co 0.431 0.276 0.500
Co 0.500 0.000 0.500
Co 0.569 0.724 0.500
Co 0.724 0.431 0.500
Co 0.776 0.931 0.500
Co 0.931 0.224 0.500
B 0.119 0.619 0.000
B 0.381 0.119 0.000
B 0.619 0.881 0.000
B 0.881 0.381 0.000


No. 20
Here is a relaxed structure of HfZrCo2B from Alexandria via LeMat-Bulk. Energies are from PBE.

Properties
- crystal system = tetragonal
- symmetry = P4/mmm (123)
- ΔH_f (0 K) (eV per atom) = 1.060

Cell: 4.460 4.460 4.379 Å, 90.00 90.00 90.00°
Fractional positions:
Hf 0.000 0.000 0.000
Zr 0.500 0.500 0.500
Co 0.000 0.500 0.000
Co 0.500 0.000 0.000
B 0.000 0.000 0.500


| no. | electronic total energy (eV per cell) |
| --- | --- |
| 1 | -75.27 |
| 2 | -159.56 |
| 3 | -142.39 |
| 4 | -87.61 |
| 5 | -94.68 |
| 6 | -44.36 |
| 7 | -42.31 |
| 8 | -31.00 |
| 9 | -37.12 |
| 10 | -44.12 |
| 11 | -34.21 |
| 12 | -40.85 |
| 13 | -44.79 |
| 14 | -183.59 |
| 15 | -42.49 |
| 16 | -117.24 |
| 17 | -43.06 |
| 18 | -28.43 |
| 19 | -151.03 |
| 20 | -34.09 |